# LiSm3Y2S6 GGA-PBE optimized geometry
# Energy ... -6.447 eV/atom
# N(E_F) ... 0.39 states/eV per atom
# Spin magnetization ... 0.0000 μB/atom
data_LiSm3Y2S6
_cell_length_a 6.805
_cell_length_b 11.823
_cell_length_c 6.861
_cell_angle_alpha 90.00
_cell_angle_beta 109.46
_cell_angle_gamma 90.00
_space_group_name_H-M_alt 'C 1 2/m 1'
_space_group_IT_number 12
_space_group_name_Hall '-C 2y'
loop_
_atom_site_label
_atom_site_type_symbol
_atom_site_fract_x
_atom_site_fract_y
_atom_site_fract_z
Li1 Li 0.000 0.000 0.000
Sm1 Sm 0.000 0.166 0.500
Sm2 Sm 0.000 0.500 0.500
Y1 Y 0.000 0.334 0.000
S1 S 0.243 0.164 0.239
S2 S 0.247 0.000 0.764

# VBiP GGA-PBE optimized geometry
# E_form ... -0.35 eV per atom
# Energy ... -6.483 eV/atom
# N(E_F) ... 0.79 states/eV per atom
# Spin magnetization ... 0.0000 μB/atom
data_VBiP
_cell_length_a 4.567
_cell_length_b 4.576
_cell_length_c 11.626
_cell_angle_alpha 90.00
_cell_angle_beta 100.86
_cell_angle_gamma 90.00
_space_group_name_H-M_alt 'C 1 2/m 1'
_space_group_IT_number 12
_space_group_name_Hall '-C 2y'
loop_
_atom_site_label
_atom_site_type_symbol
_atom_site_fract_x
_atom_site_fract_y
_atom_site_fract_z
V1 V 0.211 0.000 0.421
Bi1 Bi 0.079 0.000 0.144
P1 P 0.182 0.500 0.360

# NdY5Sn4 GGA-PBE optimized geometry
# E_form ... -0.45 eV per atom
# Energy ... -5.758 eV/atom
# N(E_F) ... 1.04 states/eV per atom
# Spin magnetization ... 0.0290 μB/atom
data_NdY5Sn4
_cell_length_a 17.905
_cell_length_b 4.463
_cell_length_c 8.079
_cell_angle_alpha 90.00
_cell_angle_beta 101.95
_cell_angle_gamma 90.00
_space_group_name_H-M_alt 'C 1 2/m 1'
_space_group_IT_number 12
_space_group_name_Hall '-C 2y'
loop_
_atom_site_label
_atom_site_type_symbol
_atom_site_fract_x
_atom_site_fract_y
_atom_site_fract_z
Nd1 Nd 0.000 0.000 0.000
Y1 Y 0.000 0.000 0.500
Y2 Y 0.140 0.500 0.727
Y3 Y 0.204 0.500 0.303
Sn1 Sn 0.035 0.500 0.281
Sn2 Sn 0.189 0.000 0.012

# Y2VPt2 GGA-PBE optimized geometry
# E_form ... -0.74 eV per atom
# Energy ... -7.566 eV/atom
# N(E_F) ... 0.93 states/eV per atom
# Spin magnetization ... 0.6218 μB/atom
data_Y2VPt2
_cell_length_a 7.270
_cell_length_b 7.270
_cell_length_c 4.077
_cell_angle_alpha 90.00
_cell_angle_beta 90.00
_cell_angle_gamma 90.00
_space_group_name_H-M_alt 'P 4/m b m'
_space_group_IT_number 127
_space_group_name_Hall '-P 4 2ab'
loop_
_atom_site_label
_atom_site_type_symbol
_atom_site_fract_x
_atom_site_fract_y
_atom_site_fract_z
Y1 Y 0.171 0.329 0.000
V1 V 0.000 0.000 0.500
Pt1 Pt 0.136 0.636 0.500

The evaluated theoretical density for the records listed, in turn: 5.3, 8.1, 5.6, 9.5 Mg/m³.